(1)
! SbH2I GGA-PBE optimized geometry; values from VASP
&SYSTEM
  ibrav = 0, nat = 8, ntyp = 3
/
ATOMIC_SPECIES
I 126.90 I.upf
H 1.01 H.upf
Sb 121.76 Sb.upf
CELL_PARAMETERS angstrom
-3.6226 4.1978 -2.4994
0.9747 -2.4279 -5.4906
-4.9493 -1.8950 -3.4093
ATOMIC_POSITIONS angstrom
I -4.9479 1.5939 -4.9518
I 0.0000 0.0000 0.0000
H -4.4612 -1.3645 -6.9259
H -1.9866 -0.4170 -5.2212
H -2.4740 0.7970 -2.4759
H -6.2725 0.7344 -8.1756
Sb -2.6492 -1.7190 -6.4475
Sb -1.3239 0.8849 -3.9950
! Uncorrected energy = -11.19 eV per formula unit
! Space-group type = I4_1/amd

***

(2)
! GaH2Br GGA-PBE optimized geometry; values from VASP
&SYSTEM
  ibrav = 0, nat = 4, ntyp = 3
/
ATOMIC_SPECIES
Ga 69.72 Ga.upf
H 1.01 H.upf
Br 79.90 Br.upf
CELL_PARAMETERS angstrom
-0.9666 -4.0251 0.9543
-3.6020 -0.8859 2.0706
-3.1849 -1.9557 -2.0194
ATOMIC_POSITIONS angstrom
Ga 0.0000 0.0000 0.0000
H -1.9384 -1.7167 0.2514
H -5.8151 -5.1500 0.7541
Br -3.8768 -3.4333 0.5027
! Uncorrected energy = -8.23 eV per formula unit
! Space-group type = Fm-3m

***

(3)
! Mg4BiH3Pd12 GGA-PBE optimized geometry; values from VASP
&SYSTEM
  ibrav = 0, nat = 20, ntyp = 4
/
ATOMIC_SPECIES
Pd 106.42 Pd.upf
Mg 24.30 Mg.upf
H 1.01 H.upf
Bi 208.98 Bi.upf
CELL_PARAMETERS angstrom
7.3909 0.0000 0.0000
-2.4636 6.9682 0.0000
-2.4636 -3.4841 6.0346
ATOMIC_POSITIONS angstrom
Pd 3.6954 0.0000 3.0173
Pd 1.4490 -1.0246 1.7747
Pd -1.4490 1.0246 1.7747
Pd 1.2318 -0.8710 4.5260
Pd -3.4782 2.4595 4.2599
Pd 3.4782 -2.4595 4.2599
Pd 3.4782 4.9189 0.0000
Pd 1.4490 2.0492 0.0000
Pd 1.2318 4.3551 1.5087
Pd 3.6954 2.6131 1.5087
Pd -1.2318 0.8710 4.5260
Pd -1.2318 3.4841 3.0173
Mg -1.2318 -1.7420 3.0173
Mg -1.2318 3.4841 0.0000
Mg 1.2318 1.7420 3.0173
Mg 3.6954 0.0000 0.0000
H -2.4636 1.7420 3.0173
H 2.4636 -1.7420 3.0173
H 2.4636 3.4841 0.0000
Bi 0.0000 0.0000 0.0000
! Uncorrected energy = -88.46 eV per formula unit
! Space-group type = Im-3m

***

(4)
! Cs2BaNa4 GGA-PBE optimized geometry; values from VASP
&SYSTEM
  ibrav = 0, nat = 7, ntyp = 3
/
ATOMIC_SPECIES
Ba 137.33 Ba.upf
Cs 132.91 Cs.upf
Na 22.99 Na.upf
CELL_PARAMETERS angstrom
4.7775 0.0000 -0.6304
0.0000 4.5867 0.0000
0.1142 0.0000 19.2833
ATOMIC_POSITIONS angstrom
Ba 2.3887 0.0000 -0.3152
Cs 3.9536 2.2933 11.5445
Cs 0.9380 2.2933 7.1084
Na 0.3278 2.2933 2.4844
Na 1.9677 0.0000 14.9124
Na 2.9239 0.0000 3.7405
Na 4.5638 2.2933 16.1685
! ΔH_f (0 K) = 0.04 eV per atom
! Space-group type = Cmmm

***

(5)
! PrTmTh GGA-PBE optimized geometry; values from VASP
&SYSTEM
  ibrav = 0, nat = 18, ntyp = 3
/
ATOMIC_SPECIES
Pr 140.91 Pr.upf
Tm 168.93 Tm.upf
Th 232.04 Th.upf
CELL_PARAMETERS angstrom
-4.3547 -4.8848 1.1335
-1.3236 -4.4394 -4.7591
9.8293 -12.3205 4.1250
ATOMIC_POSITIONS angstrom
Pr -0.8760 -10.9434 -1.2777
Pr 4.3240 -13.0590 -0.7504
Pr 1.4367 -8.3492 -1.8797
Pr 2.7142 -13.2955 2.3790
Pr -0.1730 -8.5857 1.2498
Pr 5.0269 -10.7013 1.7771
Tm -4.2940 -10.4122 -2.9957
Tm 3.4466 -7.3043 1.2209
Tm 0.4445 -4.9450 -0.1451
Tm 3.7064 -16.6997 0.6444
Tm 0.7043 -14.3403 -0.7215
Tm 8.4449 -11.2325 3.4951
Th 2.0755 -10.8223 0.2497
Th -2.8392 -4.6621 -1.8128
Th -2.1774 -2.4424 0.5668
Th -0.6618 -2.2197 -2.3796
Th -1.7580 -7.8096 -1.4945
Th 5.9090 -13.8351 1.9939
! ΔH_f (0 K) = 0.26 eV per atom
! Space-group type = R-3m

***

(6)
! LaZr2NbC GGA-PBE optimized geometry; values from VASP
&SYSTEM
  ibrav = 0, nat = 5, ntyp = 4
/
ATOMIC_SPECIES
Zr 91.22 Zr.upf
La 138.91 La.upf
Nb 92.91 Nb.upf
C 12.01 C.upf
CELL_PARAMETERS angstrom
-3.8477 -3.4838 1.2063
-0.8797 -0.4675 -4.1560
3.5198 -3.9900 -0.2962
ATOMIC_POSITIONS angstrom
Zr -1.9239 -1.7419 0.6032
Zr 1.7599 -1.9950 -0.1481
La -0.6038 -3.9707 -1.6229
Nb 0.0000 0.0000 0.0000
C -0.4398 -0.2338 -2.0780
! ΔH_f (0 K) = 1.03 eV per atom
! Space-group type = P4/mmm

***

(7)
! SrTeRu2 GGA-PBE optimized geometry; values from VASP
&SYSTEM
  ibrav = 0, nat = 4, ntyp = 3
/
ATOMIC_SPECIES
Ru 101.07 Ru.upf
Te 127.60 Te.upf
Sr 87.62 Sr.upf
CELL_PARAMETERS angstrom
-2.8137 -2.1510 2.8469
-3.8351 -1.8632 -1.5712
0.4432 -6.0161 -0.4944
ATOMIC_POSITIONS angstrom
Ru -3.5798 -4.1767 0.5556
Ru -6.1718 -4.8526 1.1108
Te -1.5514 -2.5076 0.1953
Sr -4.6542 -7.5227 0.5860
! Formation energy from raw total energies = 0.043 eV per atom
! Space-group type = C2/m

***

(8)
! DyPuCo2 GGA-PBE optimized geometry; values from VASP
&SYSTEM
  ibrav = 0, nat = 4, ntyp = 3
/
ATOMIC_SPECIES
Co 58.93 Co.upf
Pu 244.00 Pu.upf
Dy 162.50 Dy.upf
CELL_PARAMETERS angstrom
3.3019 0.0000 0.0000
0.0000 4.7140 0.0000
0.0000 0.0000 4.7140
ATOMIC_POSITIONS angstrom
Co 0.0000 2.3570 0.0000
Co 0.0000 0.0000 2.3570
Pu 1.6509 0.0000 0.0000
Dy 1.6509 2.3570 2.3570
! ΔH_f (0 K) = -0.03 eV per atom
! Space-group type = P4/mmm

***

(9)
! LiTl2In GGA-PBE optimized geometry; values from VASP
&SYSTEM
  ibrav = 0, nat = 4, ntyp = 3
/
ATOMIC_SPECIES
In 114.82 In.upf
Tl 204.38 Tl.upf
Li 6.94 Li.upf
CELL_PARAMETERS angstrom
-0.9549 0.4001 -9.7821
2.2677 -0.8764 -9.5316
-0.4668 -3.0137 -9.3520
ATOMIC_POSITIONS angstrom
In 0.2115 -0.8725 -7.1664
Tl 0.4168 -1.7193 -14.1214
Tl 0.0062 -0.0257 -0.2114
Li 0.6345 -2.6175 -21.4993
! ΔH_f (0 K) = -0.08 eV per atom
! Space-group type = R-3m

***

(10)
! SrBeRe2 GGA-PBE optimized geometry; values from VASP
&SYSTEM
  ibrav = 0, nat = 4, ntyp = 3
/
ATOMIC_SPECIES
Sr 87.62 Sr.upf
Be 9.01 Be.upf
Re 186.21 Re.upf
CELL_PARAMETERS angstrom
4.1807 0.0000 0.0000
0.0000 3.8606 -0.0079
0.0000 1.5941 5.2336
ATOMIC_POSITIONS angstrom
Sr 2.0904 1.3637 1.3064
Be 2.0904 4.0910 3.9192
Re 0.0000 3.1432 3.2223
Re 0.0000 5.0388 4.6162
! ΔH_f (0 K) = 0.74 eV per atom
! Space-group type = P2/m

***

(11)
! Cr4Re11 GGA-PBE optimized geometry; values from VASP
&SYSTEM
  ibrav = 0, nat = 30, ntyp = 2
/
ATOMIC_SPECIES
Re 186.21 Re.upf
Cr 52.00 Cr.upf
CELL_PARAMETERS angstrom
9.5277 0.0000 0.0000
0.0000 9.5277 0.0000
0.0000 0.0000 4.7943
ATOMIC_POSITIONS angstrom
Re 0.6270 2.4967 0.0000
Re 8.5802 8.5802 2.3972
Re 4.1368 7.2605 2.3972
Re 4.7639 4.7639 2.3972
Re 2.4967 0.6270 0.0000
Re 8.2363 4.4190 0.0000
Re 6.0552 9.1829 2.3972
Re 1.2914 5.1087 0.0000
Re 5.1087 1.2914 0.0000
Re 3.8164 5.7113 0.0000
Re 0.9475 0.9475 2.3972
Re 5.3909 2.2672 2.3972
Re 2.2672 5.3909 2.3972
Re 3.4725 0.3448 2.3972
Re 4.4190 8.2363 0.0000
Re 9.1829 6.0552 2.3972
Re 7.0310 8.9007 0.0000
Re 7.2605 4.1368 2.3972
Re 0.0000 0.0000 0.0000
Re 8.9007 7.0310 0.0000
Re 0.3448 3.4725 2.3972
Re 5.7113 3.8164 0.0000
Cr 3.0118 3.0118 1.1846
Cr 7.7757 1.7520 1.2126
Cr 3.0118 3.0118 3.6097
Cr 6.5159 6.5159 1.1846
Cr 7.7757 1.7520 3.5817
Cr 1.7520 7.7757 3.5817
Cr 1.7520 7.7757 1.2126
Cr 6.5159 6.5159 3.6097
! ΔH_f (0 K) = 0.06 eV per atom
! Space-group type = P4_2/mnm

***

(12)
! YZr2P GGA-PBE optimized geometry; values from VASP
&SYSTEM
  ibrav = 0, nat = 4, ntyp = 3
/
ATOMIC_SPECIES
Zr 91.22 Zr.upf
P 30.97 P.upf
Y 88.91 Y.upf
CELL_PARAMETERS angstrom
-0.2193 -0.5967 -4.1279
-3.8071 -1.6597 0.4422
-1.9720 4.3827 -0.5288
ATOMIC_POSITIONS angstrom
Zr -1.9035 -0.8298 0.2211
Zr -0.1097 -0.2984 -2.0640
P -2.9992 1.0631 -2.1073
Y -0.9860 2.1914 -0.2644
! ΔH_f (0 K) = -0.33 eV per atom
! Space-group type = P4/mmm